Ce2NdY3S6 after structural relaxation, computed with PBE.

Computed properties:
Volume ... 534.6 Å³ per cell
VASP energy ... -7.095 eV/atom
Formation energy without anion corrections ... -2.0286 eV/atom

Lattice parameters (Å, degrees): 6.8554 11.8858 6.9502 90.00 109.26 90.00
Closest atoms and distances in Å follow each position.
Space group C2/m (No. 12)
Unique sites:
1 Ce 0.0000 0.1665 0.0000  6 S 2.84-2.86
2 Nd 0.0000 0.5000 0.0000  6 S 2.87-2.88
3 Y 0.0000 0.0000 0.5000  6 S 2.76-2.77
4 Y 0.0000 0.3360 0.5000  6 S 2.76-2.78
5 S 0.2447 0.1679 0.7377  3 Y 2.77-2.78, 2 Ce 2.86, 1 Nd 2.88
6 S 0.2492 0.5000 0.7399  3 Y 2.76, 2 Ce 2.84, 1 Nd 2.87

Ce3NdY2S6 after structural relaxation, computed with PBE.

Computed properties:
Volume ... 542.9 Å³ per cell
VASP energy ... -7.053 eV/atom
Formation energy without anion corrections ... -2.0315 eV/atom

Lattice parameters (Å, degrees): 6.9106 11.9772 6.9539 90.00 109.40 90.00
Closest atoms and distances in Å follow each position.
Space group C2/m (No. 12)
Unique sites:
1 Ce 0.0000 0.0000 0.0000  6 S 2.82-2.87
2 Ce 0.0000 0.3362 0.0000  6 S 2.83-2.87
3 Nd 0.0000 0.5000 0.5000  6 S 2.84-2.85
4 Y 0.0000 0.1669 0.5000  6 S 2.78-2.79
5 S 0.2393 0.0000 0.7415  2 Y 2.78, 3 Ce 2.82-2.86, 1 Nd 2.84
6 S 0.2479 0.1706 0.2554  2 Y 2.78-2.79, 3 Ce 2.83-2.87, 1 Nd 2.85

Ce2NdYS4 after structural relaxation, computed with PBE.

Computed properties:
Volume ... 182.7 Å³ per cell
VASP energy ... -6.982 eV/atom
Formation energy without anion corrections ... -2.0305 eV/atom

Lattice parameters (Å, degrees): 6.9491 3.9969 6.9689 90.00 109.30 90.00
Closest atoms and distances in Å follow each position.
Space group P2/m (No. 10)
Unique sites:
1 Ce 0.0000 0.0000 0.0000  6 S 2.88
2 Ce 0.5000 0.5000 0.0000  6 S 2.82-2.83
3 Nd 0.0000 0.5000 0.5000  6 S 2.85
4 Y 0.5000 0.0000 0.5000  6 S 2.79
5 S 0.2561 0.0000 0.7483  1 Y 2.79, 3 Ce 2.82-2.88, 2 Nd 2.85
6 S 0.2586 0.5000 0.2564  2 Y 2.79, 3 Ce 2.83-2.88, 1 Nd 2.85

Ce4Nd3YS8 after structural relaxation, computed with PBE.

Computed properties:
Volume ... 1111.1 Å³ per cell
VASP energy ... -6.879 eV/atom
Formation energy without anion corrections ... -2.0339 eV/atom

Lattice parameters (Å, degrees): 8.0584 8.0584 19.7562 90.00 90.00 120.00
Closest atoms and distances in Å follow each position.
Space group R-3m (No. 166, hexagonal axes)
Unique sites:
1 Ce 0.0000 0.0000 0.0000  6 S 2.89
2 Ce 0.0000 0.5000 0.0000  6 S 2.84
3 Nd 0.0000 0.5000 0.5000  6 S 2.86
4 Y 0.0000 0.0000 0.5000  6 S 2.81
5 S 0.0000 0.0000 0.2511  3 Ce 2.84, 3 Nd 2.86
6 S 0.0066 0.5033 0.2494  1 Y 2.81, 3 Ce 2.84-2.89, 2 Nd 2.86

Ce3Nd2YS6 after structural relaxation, computed with PBE.

Computed properties:
Volume ... 553.3 Å³ per cell
VASP energy ... -6.914 eV/atom
Formation energy without anion corrections ... -2.0340 eV/atom

Lattice parameters (Å, degrees): 6.9651 12.0701 6.9806 90.00 109.47 90.00
Closest atoms and distances in Å follow each position.
Space group C2/m (No. 12)
Unique sites:
1 Ce 0.0000 0.0000 0.0000  6 S 2.84-2.89
2 Ce 0.0000 0.3306 0.0000  6 S 2.84-2.88
3 Nd 0.0000 0.1664 0.5000  6 S 2.86-2.87
4 Y 0.0000 0.5000 0.5000  6 S 2.79-2.80
5 S 0.2421 0.5000 0.2498  1 Y 2.80, 3 Ce 2.85-2.89, 2 Nd 2.87
6 S 0.2451 0.3371 0.7471  1 Y 2.79, 3 Ce 2.84-2.88, 2 Nd 2.86

Ce4NdSb6 after structural relaxation, computed with PBE.

Computed properties:
Volume ... 2040.5 Å³ per cell
VASP energy ... -5.702 eV/atom
Formation energy without anion corrections ... -0.8626 eV/atom

Lattice parameters (Å, degrees): 12.2719 12.2719 15.6453 90.00 90.00 120.00
Closest atoms and distances in Å follow each position.
Space group R-3c (No. 167, hexagonal axes)
Unique sites:
1 Ce 0.0000 0.0000 0.2500  6 Sb 3.26
2 Ce 0.0000 0.3910 0.2500  8 Sb 3.18-3.39
3 Nd 0.0000 0.0000 0.0000  6 Sb 3.07
4 Sb 0.0357 0.2180 0.3848  1 Nd 3.07, 5 Ce 3.18-3.39, 1 Sb 3.36

CeNd3Sb3 after structural relaxation, computed with PBE.

Computed properties:
Volume ... 859.5 Å³ per cell
Relative energy among the computed polymorphs ... 0 meV per atom
VASP energy ... -5.679 eV/atom
Formation energy without anion corrections ... -1.0215 eV/atom

Lattice parameters (Å, degrees): 9.5079 9.5079 9.5079 90.00 90.00 90.00
Closest atoms and distances in Å follow each position.
Space group P2_13 (No. 198)
Unique sites:
1 Ce 0.0720 0.4280 0.5720  6 Sb 3.16-3.43
2 Nd 0.0710 0.5710 0.9290  6 Sb 3.18-3.42
3 Nd 0.1791 0.1791 0.1791  6 Sb 3.16-3.42
4 Nd 0.1802 0.8198 0.3198  6 Sb 3.17-3.42
5 Sb 0.0012 0.7491 0.6240  6 Nd 3.16-3.42, 2 Ce 3.16-3.43

Ce3Nd5Sb8 after structural relaxation, computed with PBE.

Computed properties:
Volume ... 1561.3 Å³ per cell
VASP energy ... -5.802 eV/atom
Formation energy without anion corrections ... -1.1379 eV/atom

Lattice parameters (Å, degrees): 9.0274 9.0274 22.1222 90.00 90.00 120.00
Closest atoms and distances in Å follow each position.
Space group R-3m (No. 166, hexagonal axes)
Unique sites:
1 Ce 0.0000 0.5000 0.0000  6 Sb 3.18
2 Nd 0.0000 0.0000 0.0000  6 Sb 3.19
3 Nd 0.0000 0.0000 0.5000  6 Sb 3.19
4 Nd 0.0000 0.5000 0.5000  6 Sb 3.21
5 Sb 0.0000 0.0000 0.2510  3 Ce 3.18, 3 Nd 3.21
6 Sb 0.0017 0.5009 0.2508  2 Ce 3.18, 4 Nd 3.19-3.21

Ce2NdSb3 after structural relaxation, computed with PBE.

Computed properties:
Volume ... 1214.4 Å³ per cell
Relative energy among the computed polymorphs ... 142 meV per atom
VASP energy ... -5.786 eV/atom
Formation energy without anion corrections ... -0.9525 eV/atom

Lattice parameters (Å, degrees): 7.7409 7.7409 23.4015 90.00 90.00 120.00
Closest atoms and distances in Å follow each position.
Space group R-3c (No. 167, hexagonal axes)
Unique sites:
1 Ce 0.0000 0.0000 0.1662  6 Sb 3.23-3.24
2 Nd 0.0000 0.0000 0.0000  6 Sb 3.24
3 Sb 0.0000 0.3310 0.2500  4 Ce 3.23-3.24, 2 Nd 3.24

Ce3NdSb3 after structural relaxation, computed with PBE.

Computed properties:
Volume ... 419.9 Å³ per cell
VASP energy ... -5.654 eV/atom
Formation energy without anion corrections ... -0.6632 eV/atom

Lattice parameters (Å, degrees): 9.1916 9.1916 5.7393 90.00 90.00 120.00
Closest atoms and distances in Å follow each position.
Space group P6_3/m (No. 176)
Unique sites:
1 Ce 0.0139 0.7685 0.2500  5 Sb 3.09-3.46
2 Nd 0.3333 0.6667 0.2500  3 Sb 3.27, 3 Ce 3.50
3 Sb 0.0631 0.6255 0.7500  5 Ce 3.09-3.46, 1 Nd 3.27

CeNdSb after structural relaxation, computed with PBE.

Computed properties:
Volume ... 362.6 Å³ per cell
VASP energy ... -5.413 eV/atom
Formation energy without anion corrections ... -0.4719 eV/atom

Lattice parameters (Å, degrees): 3.4298 5.6452 18.7254 90.00 90.00 90.00
Closest atoms and distances in Å follow each position.
Space group Immm (No. 71)
Unique sites:
1 Ce 0.0000 0.2460 0.0000  2 Ce 2.78-2.87
2 Nd 0.0000 0.5000 0.3267  5 Sb 3.21-3.32, 2 Nd 3.43
3 Sb 0.0000 0.5000 0.1555  5 Nd 3.21-3.32, 2 Ce 3.25, 2 Sb 3.43

Ce2Nd2Sb3 after structural relaxation, computed with PBE.

Computed properties:
Volume ... 490.9 Å³ per cell
VASP energy ... -5.639 eV/atom
Formation energy without anion corrections ... -0.8145 eV/atom

Lattice parameters (Å, degrees): 14.6195 4.4602 7.6343 90.00 99.57 90.00
Closest atoms and distances in Å follow each position.
Space group C2/m (No. 12)
Unique sites:
1 Ce 0.1236 0.0000 0.3671  5 Sb 3.14-3.16
2 Nd 0.1219 0.5000 0.8822  4 Sb 3.14-3.16
3 Sb 0.0000 0.5000 0.5000  4 Ce 3.14, 2 Nd 3.16
4 Sb 0.2449 0.0000 0.7475  3 Ce 3.14-3.16, 3 Nd 3.14-3.15